Run a
# PBE+U Al2CrO5, optimized geometry
# Magnetic moment: 2.00 μB/f.u.
data_Al2CrO5
_space_group_name_H-M_alt 'C 1 2/c 1'
_space_group_IT_number 15
_space_group_name_Hall '-C 2yc'
_cell_length_a 9.5597
_cell_length_b 4.9652
_cell_length_c 6.8377
_cell_angle_alpha 90.00
_cell_angle_beta 111.68
_cell_angle_gamma 90.00
loop_
_atom_site_label
_atom_site_type_symbol
_atom_site_fract_x
_atom_site_fract_y
_atom_site_fract_z
Al1 Al 0.1286 0.0114 0.2152
Cr1 Cr 0.0000 0.5000 0.0000
O1 O 0.0000 0.2996 0.7500
O2 O 0.0841 0.1509 0.4464
O3 O 0.1889 0.3479 0.1560



Run b
# PBE+U Al2CrO5, optimized geometry
# Magnetic moment: 2.00 μB/f.u.
data_Al2CrO5
_space_group_name_H-M_alt 'C m c m'
_space_group_IT_number 63
_space_group_name_Hall '-C 2c 2'
_cell_length_a 3.6078
_cell_length_b 9.4644
_cell_length_c 9.5955
_cell_angle_alpha 90.00
_cell_angle_beta 90.00
_cell_angle_gamma 90.00
loop_
_atom_site_label
_atom_site_type_symbol
_atom_site_fract_x
_atom_site_fract_y
_atom_site_fract_z
Al1 Al 0.0000 0.1398 0.0596
Cr1 Cr 0.0000 0.1845 0.7500
O1 O 0.0000 0.0473 0.6152
O2 O 0.0000 0.2363 0.2500
O3 O 0.0000 0.3116 0.5717



Stability, highest: run a



Run a
# PBE+U AlCrW2O8, optimized geometry
# Magnetic moment: 5.00 μB/f.u.
data_AlCrW2O8
_space_group_name_H-M_alt 'P 1'
_space_group_IT_number 1
_space_group_name_Hall 'P 1'
_cell_length_a 5.0502
_cell_length_b 5.8301
_cell_length_c 6.6982
_cell_angle_alpha 68.14
_cell_angle_beta 82.11
_cell_angle_gamma 70.65
loop_
_atom_site_label
_atom_site_type_symbol
_atom_site_fract_x
_atom_site_fract_y
_atom_site_fract_z
Al1 Al 0.0000 0.0000 0.0000
Cr1 Cr 0.5230 0.6674 0.3432
W1 W 0.2509 0.3095 0.1871
W2 W 0.8004 0.0298 0.4924
O1 O 0.1778 0.2377 0.9552
O2 O 0.1857 0.9503 0.3796
O3 O 0.2527 0.6789 0.1016
O4 O 0.4244 0.2579 0.4664
O5 O 0.6949 0.0875 0.1647
O6 O 0.7369 0.7232 0.5591
O7 O 0.8712 0.3960 0.3067
O8 O 0.8781 0.0208 0.7567



Run b
# PBE+U AlCrW2O8, optimized geometry
# Magnetic moment: 5.00 μB/f.u.
data_AlCrW2O8
_space_group_name_H-M_alt 'P 1 2/c 1'
_space_group_IT_number 13
_space_group_name_Hall '-P 2yc'
_cell_length_a 5.1041
_cell_length_b 5.5458
_cell_length_c 10.4560
_cell_angle_alpha 90.00
_cell_angle_beta 118.72
_cell_angle_gamma 90.00
loop_
_atom_site_label
_atom_site_type_symbol
_atom_site_fract_x
_atom_site_fract_y
_atom_site_fract_z
Al1 Al 0.0000 0.1533 0.2500
Cr1 Cr 0.5000 0.1389 0.7500
W1 W 0.2523 0.3352 0.0008
O1 O 0.2023 0.3845 0.6129
O2 O 0.2064 0.1206 0.1395
O3 O 0.2697 0.1163 0.8634
O4 O 0.2980 0.3758 0.3819



Stability, highest: run b